DFT (meta-GGA SCAN) results for a crystal of TlReHg relaxed with PBEsol. Values from VASP.

```
&SYSTEM
  ibrav = 0, nat = 3, ntyp = 3
/
ATOMIC_SPECIES
Hg 200.59 Hg.upf
Re 186.21 Re.upf
Tl 204.38 Tl.upf
CELL_PARAMETERS angstrom
-0.197 2.858 -0.180
-2.007 -0.010 2.052
6.294 -0.746 4.144
ATOMIC_POSITIONS crystal
Hg 0.017 0.017 0.035
Re 0.662 0.662 0.323
Tl 0.321 0.321 0.642
```

## Properties
Its space-group type is No. 107. For the energy above the most stable polymorph in this dataset, the calculation gives 0 meV per atom. The formation energy is 1.117 eV per atom.